Compound: Re3AsRu
Source: the Alexandria database
Functional: PBE
Structure: optimized geometry

Calculated values
Relative energy among the computed polymorphs ... 0 meV per atom
Spin magnetization ... 1.609 μB per formula unit
ΔE_f ... 1843 meV per atom

Structure (CIF):
```
data_Re3AsRu
_chemical_formula_sum 'Re3 As1 Ru1'
_cell_length_a 4.477
_cell_length_b 4.477
_cell_length_c 4.477
_cell_angle_alpha 90.00
_cell_angle_beta 90.00
_cell_angle_gamma 90.00
_space_group_name_H-M_alt 'P m -3 m'
_space_group_IT_number 221
_space_group_name_Hall '-P 4 2 3'
loop_
_atom_site_label
_atom_site_fract_x
_atom_site_fract_y
_atom_site_fract_z
_atom_site_occupancy
Re1 0.000 0.000 0.500 1
As1 0.000 0.000 0.000 1
Ru1 0.500 0.500 0.500 1
```